Entry 1:
## Be2Os (PBE)

Data for a relaxed Be2Os crystal.

Cell lengths 3.6067, 3.6067, 2.6713 Å; angles 90.00, 90.00, 120.00 degrees
Space group P6/mmm (No. 191)
Symmetry-distinct sites (fractional):
Be: 0.3333 0.6667 0.0000
Os: 0.0000 0.0000 0.5000

Calculated values
Excess energy over the best structure of this formula in the dataset: 0.077 eV/atom
E: -6.4270 eV per atom
ΔH_f (0 K): -0.60 eV/f.u.

=====

Entry 2:
## Be2Os3 (PBE)

Data for a relaxed Be2Os3 crystal.

Cell lengths 2.7024, 2.7024, 29.6407 Å; angles 90.00, 90.00, 120.00 degrees
Space group R-3m (No. 166, hexagonal axes)
Symmetry-distinct sites (fractional):
Be: 0.0000 0.0000 0.1030
Os: 0.0000 0.0000 0.2966
Os: 0.0000 0.0000 0.5000

Calculated values
Excess energy over the best structure of this formula in the dataset: 0.000 eV/atom
E: -8.0865 eV per atom
ΔH_f (0 K): 0.71 eV/f.u.

=====

Entry 3:
## Be2Os (PBE)

Data for a relaxed Be2Os crystal.

Cell lengths 3.0426, 3.0426, 12.8743 Å; angles 90.00, 90.00, 90.00 degrees
Space group I4_1/amd (No. 141, origin choice 2)
Symmetry-distinct sites (fractional):
Be: 0.0000 0.2500 0.2972
Os: 0.0000 0.2500 0.8750

Calculated values
Excess energy over the best structure of this formula in the dataset: 0.217 eV/atom
E: -6.2868 eV per atom
ΔH_f (0 K): -0.18 eV/f.u.

=====

Entry 4:
## BeOs3 (PBE)

Data for a relaxed BeOs3 crystal.

Cell lengths 2.7364, 2.7364, 8.1026 Å; angles 90.00, 90.00, 120.00 degrees
Space group P-6m2 (No. 187)
Symmetry-distinct sites (fractional):
Be: 0.0000 0.0000 0.0000
Os: 0.0000 0.0000 0.5000
Os: 0.6667 0.3333 0.2343

Calculated values
Excess energy over the best structure of this formula in the dataset: 0.000 eV/atom
E: -9.3620 eV per atom
ΔH_f (0 K): -0.03 eV/f.u.

=====

Entry 5:
## BeOs3 (PBE)

Data for a relaxed BeOs3 crystal.

Cell lengths 5.1044, 7.7947, 2.7235 Å; angles 90.00, 90.00, 90.00 degrees
Space group Cmmm (No. 65)
Symmetry-distinct sites (fractional):
Be: 0.0000 0.0000 0.0000
Os: 0.0000 0.5000 0.0000
Os: 0.2500 0.2500 0.5000

Calculated values
Excess energy over the best structure of this formula in the dataset: 0.329 eV/atom
E: -9.0333 eV per atom
ΔH_f (0 K): 1.28 eV/f.u.

=====

Entry 6:
## Be2Os (PBE)

Data for a relaxed Be2Os crystal.

Cell lengths 5.2855, 5.2855, 5.2855 Å; angles 90.00, 90.00, 90.00 degrees
Space group Fm-3m (No. 225)
Symmetry-distinct sites (fractional):
Be: 0.2500 0.2500 0.2500
Os: 0.0000 0.0000 0.0000

Calculated values
Excess energy over the best structure of this formula in the dataset: 0.864 eV/atom
E: -5.6400 eV per atom
ΔH_f (0 K): 1.76 eV/f.u.

=====

Entry 7:
## Be3Os2 (PBE)

Data for a relaxed Be3Os2 crystal.

Cell lengths 8.0072, 10.9444, 4.6636 Å; angles 90.00, 90.00, 90.00 degrees
Space group Fdd2 (No. 43)
Symmetry-distinct sites (fractional):
Be: 0.0000 0.0000 0.0000
Be: 0.0716 0.1176 0.3570
Os: 0.0774 0.1941 0.8595

Calculated values
Excess energy over the best structure of this formula in the dataset: 0.102 eV/atom
E: -6.9268 eV per atom
ΔH_f (0 K): -1.00 eV/f.u.

=====

Entry 8:
## Be2Os (PBE)

Data for a relaxed Be2Os crystal.

Cell lengths 3.9347, 3.9347, 4.5103 Å; angles 90.00, 90.00, 120.00 degrees
Space group P6_3/mmc (No. 194)
Symmetry-distinct sites (fractional):
Be: 0.0000 0.0000 0.0000
Be: 0.3333 0.6667 0.2500
Os: 0.3333 0.6667 0.7500

Calculated values
Excess energy over the best structure of this formula in the dataset: 0.188 eV/atom
E: -6.3158 eV per atom
ΔH_f (0 K): -0.27 eV/f.u.

=====

Entry 9:
## BeOs3 (PBE)

Data for a relaxed BeOs3 crystal.

Cell lengths 8.3283, 8.3283, 2.7249 Å; angles 90.00, 90.00, 120.00 degrees
Space group R-3m (No. 166, hexagonal axes)
Symmetry-distinct sites (fractional):
Be: 0.0000 0.0000 0.0000
Os: 0.0000 0.5000 0.0000

Calculated values
Excess energy over the best structure of this formula in the dataset: 0.515 eV/atom
E: -8.8473 eV per atom
ΔH_f (0 K): 2.03 eV/f.u.

=====

Entry 10:
## Be5Os4 (PBE)

Data for a relaxed Be5Os4 crystal.

Cell lengths 8.1267, 8.1267, 2.9938 Å; angles 90.00, 90.00, 90.00 degrees
Space group I4/mmm (No. 139)
Symmetry-distinct sites (fractional):
Be: 0.0000 0.0000 0.0000
Be: 0.1832 0.1832 0.5000
Os: 0.0000 0.2995 0.0000

Calculated values
Excess energy over the best structure of this formula in the dataset: 0.000 eV/atom
E: -7.0782 eV per atom
ΔH_f (0 K): -0.15 eV/f.u.

=====

Entry 11:
## Be5Os (PBE)

Data for a relaxed Be5Os crystal.

Cell lengths 2.7654, 2.7654, 7.4084 Å; angles 90.00, 90.00, 90.00 degrees
Space group P4/mmm (No. 123)
Symmetry-distinct sites (fractional):
Be: 0.0000 0.0000 0.0000
Be: 0.0000 0.0000 0.3221
Be: 0.5000 0.5000 0.1610
Os: 0.5000 0.5000 0.5000

Calculated values
E: -4.9513 eV per atom
ΔH_f (0 K): 0.15 eV/f.u.

=====

Entry 12:
## Be2Os (PBE)

Data for a relaxed Be2Os crystal.

Cell lengths 2.8765, 2.8765, 7.4468 Å; angles 90.00, 90.00, 90.00 degrees
Space group I4/mmm (No. 139)
Symmetry-distinct sites (fractional):
Be: 0.0000 0.0000 0.1649
Os: 0.0000 0.0000 0.5000

Calculated values
Excess energy over the best structure of this formula in the dataset: 0.154 eV/atom
E: -6.3505 eV per atom
ΔH_f (0 K): -0.37 eV/f.u.

=====

Entry 13:
## BeOs3 (PBE)

Data for a relaxed BeOs3 crystal.

Cell lengths 8.7741, 2.7118, 4.5777 Å; angles 90.00, 98.30, 90.00 degrees
Space group C2/m (No. 12)
Symmetry-distinct sites (fractional):
Be: 0.0000 0.0000 0.0000
Os: 0.0000 0.5000 0.5000
Os: 0.2443 0.0000 0.7589

Calculated values
Excess energy over the best structure of this formula in the dataset: 0.224 eV/atom
E: -9.1376 eV per atom
ΔH_f (0 K): 0.87 eV/f.u.

=====

Entry 14:
## BeOs3 (PBE)

Data for a relaxed BeOs3 crystal.

Cell lengths 5.3988, 5.3988, 4.2100 Å; angles 90.00, 90.00, 120.00 degrees
Space group P6_3/mmc (No. 194)
Symmetry-distinct sites (fractional):
Be: 0.3333 0.6667 0.2500
Os: 0.1736 0.3472 0.7500

Calculated values
Excess energy over the best structure of this formula in the dataset: 0.240 eV/atom
E: -9.1219 eV per atom
ΔH_f (0 K): 0.93 eV/f.u.

=====

Entry 15:
## BeOs3 (PBE)

Data for a relaxed BeOs3 crystal.

Cell lengths 4.7829, 4.7829, 4.7829 Å; angles 90.00, 90.00, 90.00 degrees
Space group Pm-3n (No. 223)
Symmetry-distinct sites (fractional):
Be: 0.0000 0.0000 0.0000
Os: 0.0000 0.2500 0.5000

Calculated values
Excess energy over the best structure of this formula in the dataset: 0.564 eV/atom
E: -8.7979 eV per atom
ΔH_f (0 K): 2.22 eV/f.u.

=====

Entry 16:
## BeOs7 (PBE)

Data for a relaxed BeOs7 crystal.

Cell lengths 7.6539, 7.6539, 7.6539 Å; angles 90.00, 90.00, 90.00 degrees
Space group Fm-3m (No. 225)
Symmetry-distinct sites (fractional):
Be: 0.0000 0.0000 0.0000
Os: 0.0000 0.0000 0.5000
Os: 0.0000 0.2500 0.2500

Calculated values
E: -10.0016 eV per atom
ΔH_f (0 K): 2.32 eV/f.u.

=====

Entry 17:
## Be2Os (PBE)

Data for a relaxed Be2Os crystal.

Cell lengths 8.4718, 2.7667, 5.6440 Å; angles 90.00, 109.89, 90.00 degrees
Space group C2/m (No. 12)
Symmetry-distinct sites (fractional):
Be: 0.0229 0.0000 0.2438
Be: 0.1619 0.5000 0.0463
Os: 0.1671 0.5000 0.6200

Calculated values
Excess energy over the best structure of this formula in the dataset: 0.163 eV/atom
E: -6.3415 eV per atom
ΔH_f (0 K): -0.34 eV/f.u.

=====

Entry 18:
## BeOs3 (PBE)

Data for a relaxed BeOs3 crystal.

Cell lengths 2.7187, 3.8864, 5.1106 Å; angles 90.00, 103.29, 90.00 degrees
Space group P2/m (No. 10)
Symmetry-distinct sites (fractional):
Be: 0.0000 0.0000 0.0000
Os: 0.0000 0.0000 0.5000
Os: 0.3750 0.5000 0.2296

Calculated values
Excess energy over the best structure of this formula in the dataset: 0.123 eV/atom
E: -9.2393 eV per atom
ΔH_f (0 K): 0.46 eV/f.u.

=====

Entry 19:
## BeOs3 (PBE)

Data for a relaxed BeOs3 crystal.

Cell lengths 4.3542, 4.3542, 2.8481 Å; angles 90.00, 90.00, 90.00 degrees
Space group P4/mmm (No. 123)
Symmetry-distinct sites (fractional):
Be: 0.0000 0.0000 0.0000
Os: 0.0000 0.5000 0.5000
Os: 0.5000 0.5000 0.0000

Calculated values
Excess energy over the best structure of this formula in the dataset: 0.422 eV/atom
E: -8.9398 eV per atom
ΔH_f (0 K): 1.66 eV/f.u.

=====

Entry 20:
## BeOs5 (PBE)

Data for a relaxed BeOs5 crystal.

Cell lengths 3.8072, 11.4176, 3.8190 Å; angles 90.00, 90.00, 90.00 degrees
Space group Cmmm (No. 65)
Symmetry-distinct sites (fractional):
Be: 0.0000 0.0000 0.0000
Os: 0.0000 0.1646 0.5000
Os: 0.0000 0.3294 0.0000
Os: 0.0000 0.5000 0.5000

Calculated values
Excess energy over the best structure of this formula in the dataset: 0.235 eV/atom
E: -9.7137 eV per atom
ΔH_f (0 K): 1.59 eV/f.u.

=====

Entry 21:
## Be5Os (PBE)

Data for a relaxed Be5Os crystal.

Cell lengths 3.0771, 10.6148, 3.3674 Å; angles 90.00, 90.00, 90.00 degrees
Space group Cmmm (No. 65)
Symmetry-distinct sites (fractional):
Be: 0.0000 0.0000 0.0000
Be: 0.0000 0.1719 0.5000
Be: 0.0000 0.3264 0.0000
Os: 0.0000 0.5000 0.5000

Calculated values
E: -5.1125 eV per atom
ΔH_f (0 K): -0.81 eV/f.u.

=====

Entry 22:
## Be5Os3 (PBE)

Data for a relaxed Be5Os3 crystal.

Cell lengths 4.4060, 6.0412, 6.9786 Å; angles 92.80, 107.52, 110.01 degrees
Space group P-1 (No. 2)
Symmetry-distinct sites (fractional):
Be: 0.0974 0.3066 0.3828
Be: 0.1012 0.7324 0.3889
Be: 0.1824 0.0201 0.2652
Be: 0.1845 0.5478 0.1459
Be: 0.3178 0.2961 0.9369
Os: 0.1817 0.8573 0.9537
Os: 0.3479 0.0946 0.6404
Os: 0.3898 0.6007 0.6736

Calculated values
Excess energy over the best structure of this formula in the dataset: 0.000 eV/atom
E: -6.6880 eV per atom
ΔH_f (0 K): -1.18 eV/f.u.

=====

Entry 23:
## Be2Os (PBE)

Data for a relaxed Be2Os crystal.

Cell lengths 3.9772, 3.9772, 2.5356 Å; angles 90.00, 90.00, 90.00 degrees
Space group P4/mmm (No. 123)
Symmetry-distinct sites (fractional):
Be: 0.0000 0.5000 0.0000
Os: 0.0000 0.0000 0.5000

Calculated values
Excess energy over the best structure of this formula in the dataset: 0.435 eV/atom
E: -6.0695 eV per atom
ΔH_f (0 K): 0.47 eV/f.u.

=====

Entry 24:
## BeOs3 (PBE)

Data for a relaxed BeOs3 crystal.

Cell lengths 5.5541, 7.4736, 4.8986 Å; angles 90.00, 90.00, 90.00 degrees
Space group Pnma (No. 62)
Symmetry-distinct sites (fractional):
Be: 0.1201 0.2500 0.0813
Os: 0.0222 0.7500 0.3475
Os: 0.1941 0.5566 0.8616

Calculated values
Excess energy over the best structure of this formula in the dataset: 0.169 eV/atom
E: -9.1928 eV per atom
ΔH_f (0 K): 0.64 eV/f.u.

=====

Entry 25:
## BeOs5 (PBE)

Data for a relaxed BeOs5 crystal.

Cell lengths 7.1700, 7.1700, 7.1700 Å; angles 90.00, 90.00, 90.00 degrees
Space group F-43m (No. 216)
Symmetry-distinct sites (fractional):
Be: 0.0000 0.0000 0.0000
Os: 0.1253 0.1253 0.3747
Os: 0.2500 0.2500 0.7500

Calculated values
Excess energy over the best structure of this formula in the dataset: 0.971 eV/atom
E: -8.9779 eV per atom
ΔH_f (0 K): 6.01 eV/f.u.

=====

Entry 26:
## Be3Os2 (PBE)

Data for a relaxed Be3Os2 crystal.

Cell lengths 5.6895, 5.6895, 3.1512 Å; angles 90.00, 90.00, 90.00 degrees
Space group P4/mbm (No. 127)
Symmetry-distinct sites (fractional):
Be: 0.0000 0.0000 0.0000
Be: 0.1247 0.3753 0.0000
Os: 0.1765 0.6765 0.5000

Calculated values
Excess energy over the best structure of this formula in the dataset: 0.000 eV/atom
E: -7.0287 eV per atom
ΔH_f (0 K): -1.51 eV/f.u.

=====

Entry 27:
## Be3Os2 (PBE)

Data for a relaxed Be3Os2 crystal.

Cell lengths 4.0751, 4.0751, 4.5854 Å; angles 90.00, 90.00, 120.00 degrees
Space group P-3m1 (No. 164)
Symmetry-distinct sites (fractional):
Be: 0.0000 0.0000 0.0000
Be: 0.3333 0.6667 0.4088
Os: 0.3333 0.6667 0.9028

Calculated values
Excess energy over the best structure of this formula in the dataset: 0.549 eV/atom
E: -6.4800 eV per atom
ΔH_f (0 K): 1.24 eV/f.u.